Material: MgTa2Tc
Method: DFT, PBE-GGA
State: relaxed

a b c (Å): 3.494 4.407 4.447
angles (deg): 90.00 90.00 90.00
Space group Pmmm (No. 47)
Unique sites:
Mg: 0.000 0.000 0.000
Ta: 0.000 0.500 0.500
Ta: 0.500 0.500 0.000
Tc: 0.500 0.000 0.500

The value obtained for the total energy is -34.940 eV per cell. Its formation energy is 0.181 eV per atom.

=====

Material: MgTa4Tc
Method: DFT, PBE-GGA
State: relaxed

a b c (Å): 7.661 7.661 7.661
angles (deg): 90.00 90.00 90.00
Space group F-43m (No. 216)
Unique sites:
Mg: 0.000 0.000 0.000
Ta: 0.124 0.124 0.624
Tc: 0.250 0.250 0.250

The value obtained for the total energy is -227.137 eV per cell. Its formation energy is 0.431 eV per atom.

=====

Material: MgTa2Tc
Method: DFT, PBE-GGA
State: relaxed

a b c (Å): 6.212 6.362 3.454
angles (deg): 90.00 90.00 90.00
Space group Cmmm (No. 65)
Unique sites:
Mg: 0.000 0.000 0.000
Ta: 0.250 0.250 0.500
Tc: 0.000 0.500 0.000

The value obtained for the total energy is -70.179 eV per cell. Its formation energy is 0.144 eV per atom.

=====

Material: MgTa2Tc
Method: DFT, PBE-GGA
State: relaxed

a b c (Å): 2.804 4.546 5.546
angles (deg): 90.00 101.36 90.00
Space group P2/m (No. 10)
Unique sites:
Mg: 0.000 0.000 0.000
Ta: 0.276 0.500 0.735
Tc: 0.500 0.000 0.500

The value obtained for the total energy is -35.271 eV per cell. Its formation energy is 0.099 eV per atom.

=====

Material: MgTaTc
Method: DFT, PBE-GGA
State: relaxed

a b c (Å): 6.242 6.242 6.242
angles (deg): 90.00 90.00 90.00
Space group F-43m (No. 216)
Unique sites:
Mg: 0.000 0.000 0.000
Ta: 0.250 0.250 0.250
Tc: 0.000 0.000 0.500

The energy relative to the lowest polymorph listed for this composition comes out at 860 meV per atom. The value obtained for the total energy is -84.925 eV per cell. Its formation energy is 0.861 eV per atom.

=====

Material: MgTa2Tc
Method: DFT, PBE-GGA
State: relaxed

a b c (Å): 3.208 3.208 6.834
angles (deg): 90.00 90.00 90.00
Space group P4/mmm (No. 123)
Unique sites:
Mg: 0.000 0.000 0.000
Ta: 0.500 0.500 0.277
Tc: 0.000 0.000 0.500

The value obtained for the total energy is -35.356 eV per cell. Its formation energy is 0.077 eV per atom.